Computed, not measured: a relaxed DyThZr crystal at the GGA-PBE level of DFT.

CIF file:
```
data_DyThZr
_chemical_formula_sum 'Dy1 Th1 Zr1'
_symmetry_space_group_name_H-M 'P m m m'
_symmetry_Int_Tables_number 47
_symmetry_space_group_name_Hall '-P 2 2'
_cell_length_a 3.4013
_cell_length_b 5.1847
_cell_length_c 5.8079
_cell_angle_alpha 90.00
_cell_angle_beta 90.00
_cell_angle_gamma 90.00
loop_
_atom_site_label
_atom_site_fract_x
_atom_site_fract_y
_atom_site_fract_z
Dy1 0.0000 0.0000 0.0000
Th1 0.5000 0.0000 0.5000
Zr1 0.0000 0.5000 0.5000
```

formation enthalpy at 0 K = 0.67 eV/atom

Computed, not measured: a relaxed DyTh2Zr crystal at the GGA-PBE level of DFT.

CIF file:
```
data_DyTh2Zr
_chemical_formula_sum 'Dy1 Th2 Zr1'
_symmetry_space_group_name_H-M 'P 4/m m m'
_symmetry_Int_Tables_number 123
_symmetry_space_group_name_Hall '-P 4 2'
_cell_length_a 3.4806
_cell_length_b 3.4806
_cell_length_c 9.8273
_cell_angle_alpha 90.00
_cell_angle_beta 90.00
_cell_angle_gamma 90.00
loop_
_atom_site_label
_atom_site_fract_x
_atom_site_fract_y
_atom_site_fract_z
Dy1 0.0000 0.0000 0.0000
Th1 0.5000 0.5000 0.2635
Zr1 0.0000 0.0000 0.5000
```

formation enthalpy at 0 K = 0.09 eV/atom

no.,energy relative to the lowest polymorph listed for this composition (meV per atom),E_tot (eV/atom),magnetic moment (μB/f.u.)
1,579,-6.182,0.00
2,0,-6.909,0.00